! RbDyCdTe3 PBE-GGA optimized geometry; values from VASP
&SYSTEM
  ibrav = 0, nat = 12, ntyp = 4
/
ATOMIC_SPECIES
Cd 112.41 Cd.upf
Dy 162.50 Dy.upf
Rb 85.47 Rb.upf
Te 127.60 Te.upf
ATOMIC_POSITIONS crystal
Cd 0.516 0.516 0.219
Cd 0.484 0.484 0.781
Dy 0.174 0.174 0.081
Dy 0.826 0.826 0.919
Rb 0.857 0.857 0.432
Rb 0.143 0.143 0.568
Te 0.000 0.000 0.000
Te 0.335 0.335 0.134
Te 0.668 0.668 0.288
Te 0.500 0.500 0.500
Te 0.332 0.332 0.712
Te 0.665 0.665 0.866
CELL_PARAMETERS angstrom
9.773 -2.264 0.000
9.773 2.264 0.000
-2.185 0.000 9.687
! E = -3.61 eV/atom
! spin magnetization = 0.00 μB per atom
! calculated volume = 429 Å³/cell



! TaZnAs2 PBE-GGA optimized geometry; values from VASP
&SYSTEM
  ibrav = 0, nat = 4, ntyp = 3
/
ATOMIC_SPECIES
As 74.92 As.upf
Ta 180.95 Ta.upf
Zn 65.41 Zn.upf
ATOMIC_POSITIONS crystal
As 0.000 0.000 0.000
As 0.750 0.750 0.750
Ta 0.500 0.500 0.500
Zn 0.250 0.250 0.250
CELL_PARAMETERS angstrom
0.000 3.272 3.272
3.272 0.000 3.272
3.272 3.272 0.000
! E = -5.13 eV/atom
! spin magnetization = 0.00 μB per atom
! calculated volume = 70 Å³/cell



- Which value of calculated volume does entry 2 give?
  70 Å³/cell